Version A
A plane-wave DFT calculation with GGA-PBE was carried out for TlZn2Ir after structural relaxation.

```
TlZn2Ir
1.0
-1.984 1.984 4.234
1.984 -1.984 4.234
1.984 1.984 -4.234
Tl Zn Ir
1 2 1
Cartesian
0.000 0.000 0.000
1.984 0.000 2.117
0.000 1.984 2.117
0.000 0.000 4.234
```

Calculated values
The density of states at the Fermi level comes out at 0.32 states/eV/atom. Its space-group type is I4/mmm (139).



Version B
A plane-wave DFT calculation with GGA-PBE was carried out for TlZn2Ir after structural relaxation.

```
TlZn2Ir
1.0
-1.982 1.984 4.207
1.982 -1.984 4.207
1.982 1.984 -4.207
Tl Zn Ir
1 2 1
Cartesian
0.000 0.000 0.000
0.000 0.000 4.201
0.000 1.984 2.101
1.982 0.000 2.104
```

Calculated values
The density of states at the Fermi level comes out at 0.31 states/eV/atom. Its space-group type is Imm2 (44).



Which of them is least stable? Easy: version A.



Version A
A plane-wave DFT calculation with GGA-PBE was carried out for TlZn2Ir after structural relaxation.

```
TlZn2Ir
1.0
4.650 -1.590 0.000
4.650 1.590 0.000
-1.169 0.000 4.620
Tl Zn Ir
1 2 1
Cartesian
0.000 0.000 0.000
1.330 0.000 3.339
4.003 0.000 2.217
6.722 0.000 1.343
```

Calculated values
The density of states at the Fermi level comes out at 0.27 states/eV/atom. Its space-group type is Cm (8).



Version B
A plane-wave DFT calculation with GGA-PBE was carried out for TlZn2Ir after structural relaxation.

```
TlZn2Ir
1.0
3.171 0.000 0.000
0.000 4.315 0.000
-1.312 0.000 5.163
Tl Zn Ir
1 2 1
Cartesian
0.000 0.000 0.000
0.008 2.157 3.320
1.617 0.000 2.489
1.547 2.157 1.133
```

Calculated values
The density of states at the Fermi level comes out at 0.37 states/eV/atom. Its space-group type is Pm (6).



Version C
A plane-wave DFT calculation with GGA-PBE was carried out for TlZn2Ir after structural relaxation.

```
TlZn2Ir
1.0
1.526 -2.545 0.000
1.526 2.545 0.000
0.000 0.000 9.413
Tl Zn Ir
1 2 1
Cartesian
0.000 0.000 0.000
0.000 0.000 4.486
1.526 0.000 6.628
1.526 0.000 2.477
```

Calculated values
The density of states at the Fermi level comes out at 0.47 states/eV/atom. Its space-group type is Cmm2 (35).



Version D
A plane-wave DFT calculation with GGA-PBE was carried out for TlZn2Ir after structural relaxation.

```
TlZn2Ir
1.0
3.117 0.000 0.000
0.000 3.117 0.000
0.000 0.000 7.578
Tl Zn Ir
1 2 1
Cartesian
0.000 0.000 0.000
1.559 1.559 2.383
1.559 1.559 5.195
0.000 0.000 3.789
```

Calculated values
The density of states at the Fermi level comes out at 0.26 states/eV/atom. Its space-group type is P4/mmm (123).



Which of them is least stable? Easy: version C.



Version A
A plane-wave DFT calculation with GGA-PBE was carried out for TlZn2Ir after structural relaxation.

```
TlZn2Ir
1.0
4.098 0.000 0.000
0.000 4.098 0.000
0.000 0.000 3.963
Tl Zn Ir
1 2 1
Cartesian
0.000 0.000 0.000
0.000 2.049 1.982
2.049 0.000 1.982
2.049 2.049 0.000
```

Calculated values
The density of states at the Fermi level comes out at 0.40 states/eV/atom. Its space-group type is P4/mmm (123).



Version B
A plane-wave DFT calculation with GGA-PBE was carried out for TlZn2Ir after structural relaxation.

```
TlZn2Ir
1.0
0.000 3.227 3.227
3.227 0.000 3.227
3.227 3.227 0.000
Tl Zn Ir
1 2 1
Cartesian
0.000 0.000 0.000
1.613 1.613 1.613
4.840 4.840 4.840
3.227 3.227 3.227
```

Calculated values
The density of states at the Fermi level comes out at 0.52 states/eV/atom. Its space-group type is Fm-3m (225).



Which of them is least stable? Easy: version B.



Version A
A plane-wave DFT calculation with GGA-PBE was carried out for TlZn2Ir after structural relaxation.

```
TlZn2Ir
1.0
3.298 0.000 0.000
0.000 3.298 0.000
0.000 0.000 6.472
Tl Zn Ir
1 2 1
Cartesian
0.000 0.000 0.000
0.000 0.000 3.405
1.649 1.649 1.952
1.649 1.649 4.554
```

Calculated values
The density of states at the Fermi level comes out at 0.26 states/eV/atom. Its space-group type is P4mm (99).



Version B
A plane-wave DFT calculation with GGA-PBE was carried out for TlZn2Ir after structural relaxation.

```
TlZn2Ir
1.0
0.000 3.237 3.237
3.237 0.000 3.237
3.237 3.237 0.000
Tl Zn Ir
1 2 1
Cartesian
0.000 0.000 0.000
1.619 1.619 1.619
3.237 3.237 3.237
4.856 4.856 4.856
```

Calculated values
The density of states at the Fermi level comes out at 0.64 states/eV/atom. Its space-group type is F-43m (216).



Version C
A plane-wave DFT calculation with GGA-PBE was carried out for TlZn2Ir after structural relaxation.

```
TlZn2Ir
1.0
4.738 -1.541 0.000
4.738 1.541 0.000
-1.009 0.000 4.748
Tl Zn Ir
1 2 1
Cartesian
0.000 0.000 0.000
1.486 0.000 3.332
6.981 0.000 1.416
4.233 0.000 2.374
```

Calculated values
The density of states at the Fermi level comes out at 0.34 states/eV/atom. Its space-group type is C2/m (12).



Which of them is least stable? Easy: version B.



Version A
A plane-wave DFT calculation with GGA-PBE was carried out for TlZn2Ir after structural relaxation.

```
TlZn2Ir
1.0
-2.025 2.025 9.265
2.025 -2.025 9.265
2.025 2.025 -9.265
Tl Zn Ir
2 4 2
Cartesian
0.000 0.000 0.000
0.000 2.025 4.633
1.013 -0.722 6.949
1.303 1.013 2.316
1.013 2.747 -2.316
0.722 1.013 11.582
2.025 0.000 4.633
0.000 0.000 9.265
```

Calculated values
The density of states at the Fermi level comes out at 0.79 states/eV/atom. Its space-group type is I-42d (122).



Version B
A plane-wave DFT calculation with GGA-PBE was carried out for TlZn2Ir after structural relaxation.

```
TlZn2Ir
1.0
1.546 0.892 8.768
-1.546 0.892 8.768
0.000 -1.785 8.768
Tl Zn Ir
1 2 1
Cartesian
0.000 0.000 0.000
0.000 0.000 6.275
0.000 0.000 20.028
0.000 0.000 13.152
```

Calculated values
The density of states at the Fermi level comes out at 0.65 states/eV/atom. Its space-group type is R-3m (166).



Version C
A plane-wave DFT calculation with GGA-PBE was carried out for TlZn2Ir after structural relaxation.

```
TlZn2Ir
1.0
2.829 -3.776 0.000
2.829 3.776 0.000
0.000 0.000 3.149
Tl Zn Ir
1 2 1
Cartesian
0.000 0.000 0.000
1.415 1.888 1.575
1.415 -1.888 1.575
2.829 0.000 0.000
```

Calculated values
The density of states at the Fermi level comes out at 0.44 states/eV/atom. Its space-group type is Cmmm (65).



Which of them is least stable? Easy: version A.



Version A
A plane-wave DFT calculation with GGA-PBE was carried out for TlZn2Ir2 after structural relaxation.

```
TlZn2Ir2
1.0
-1.921 1.921 5.982
1.921 -1.921 5.982
1.921 1.921 -5.982
Tl Zn Ir
1 2 2
Cartesian
0.000 0.000 0.000
1.921 0.000 2.991
0.000 1.921 2.991
0.000 0.000 4.691
0.000 0.000 7.273
```

Calculated values
The density of states at the Fermi level comes out at 0.78 states/eV/atom. Its space-group type is I4/mmm (139).



Version B
A plane-wave DFT calculation with GGA-PBE was carried out for TlZn2Ir2 after structural relaxation.

```
TlZn2Ir2
1.0
7.407 0.000 0.000
0.000 7.407 0.000
0.000 0.000 2.946
Tl Zn Ir
2 4 4
Cartesian
0.000 0.000 0.000
3.703 3.703 0.000
0.912 2.792 0.000
2.792 6.495 0.000
4.615 0.912 0.000
6.495 4.615 0.000
1.272 4.976 1.473
2.431 1.272 1.473
4.976 6.135 1.473
6.135 2.431 1.473
```

Calculated values
The density of states at the Fermi level comes out at 0.47 states/eV/atom. Its space-group type is P4/mbm (127).



Version C
A plane-wave DFT calculation with GGA-PBE was carried out for TlZn2Ir2 after structural relaxation.

```
TlZn2Ir2
1.0
7.301 0.000 0.000
0.000 7.301 0.000
0.000 0.000 3.089
Tl Zn Ir
2 4 4
Cartesian
0.000 0.000 0.000
3.650 3.650 0.000
1.116 2.534 1.545
2.534 6.185 1.545
4.766 1.116 1.545
6.185 4.766 1.545
1.034 4.684 0.000
2.617 1.034 0.000
4.684 6.267 0.000
6.267 2.617 0.000
```

Calculated values
The density of states at the Fermi level comes out at 0.50 states/eV/atom. Its space-group type is P4/mbm (127).



Which of them is least stable? Easy: version A.